Entry 1:
Density functional theory data (GGA-PBE) for an optimized crystal structure of PtWSe4.

It has space group C2/m (No. 12), with a = 13.1919 Å, b = 3.5666 Å, c = 6.5499 Å, α = 90.00°, β = 105.76° and γ = 90.00°. The asymmetric unit holds Pt at (0.0000, 0.0000, 0.0000), W at (0.0000, 0.5000, 0.5000), Se at (0.1104, 0.5000, 0.8842) and Se at (0.1137, 0.0000, 0.3859).

As for the total magnetization: 0.00 μB/f.u. The uncorrected formation energy is -0.22 eV per atom. The offset from the most stable computed form comes out at 0.00 kJ per mole of atoms. Its mass density is 7.78 g/cm3.

Entry 2:
Density functional theory data (GGA-PBE) for an optimized crystal structure of PtWSe2.

It has space group P2/m (No. 10), with a = 2.6676 Å, b = 4.4164 Å, c = 6.1240 Å, α = 90.00°, β = 90.38° and γ = 90.00°. The asymmetric unit holds Pt at (0.0000, 0.0000, 0.0000), W at (0.0000, 0.0000, 0.5000) and Se at (0.0008, 0.5000, 0.2568).

As for the total magnetization: 0.00 μB/f.u. The uncorrected formation energy is 0.50 eV per atom. The offset from the most stable computed form comes out at 53.95 kJ per mole of atoms. Its mass density is 12.36 g/cm3.

Question: Which value of mass density does entry 1 give?
Answer: 7.78 g/cm3

Question: What is the formula in the first record?
Answer: PtWSe4

Question: offset from the most stable computed form of number 2 (PtWSe2)?
Answer: 53.95 kJ per mole of atoms